No. 1
K2BiH (PBE, optimized geometry); electronic total energy = -8.46 eV for the cell shown; density of states at the Fermi level = 1.314 states/eV per atom; space-group type = Fm-3m, No. 225; energy above the most stable polymorph in this dataset = 1.83 eV per formula unit; spin magnetization = 2.0 μB/f.u.
1.0
-4.091 -0.269 4.264
-1.158 4.775 3.293
-5.136 2.862 -0.644
Bi H K
1 1 2
Direct
0.500 0.500 0.500
0.000 0.000 0.000
0.250 0.250 0.250
0.750 0.750 0.750

---

No. 2
Sm3InAu2 (PBE, optimized geometry); electronic total energy = -27.60 eV for the cell shown; density of states at the Fermi level = 0.691 states/eV per atom; space-group type = P4/mmm, No. 123; spin magnetization = 0.0 μB/f.u.
1.0
3.659 0.000 0.000
0.000 3.659 0.000
0.000 0.000 11.606
Au Sm In
2 3 1
Direct
0.500 0.500 0.162
0.500 0.500 0.838
0.000 0.000 0.682
0.000 0.000 0.000
0.000 0.000 0.318
0.500 0.500 0.500

---

No. 3
NaYBe3 (PBE, optimized geometry); electronic total energy = -13.46 eV for the cell shown; density of states at the Fermi level = 0.659 states/eV per atom; space-group type = Pm-3m, No. 221; energy above the most stable polymorph in this dataset = 0.00 eV per formula unit; spin magnetization = 0.0 μB/f.u.
1.0
-3.031 3.025 1.279
-3.042 -1.930 -2.645
-1.238 -2.664 3.368
Y Na Be
1 1 3
Direct
0.500 0.500 0.500
0.000 0.000 0.000
0.000 0.500 0.000
0.500 0.000 0.000
0.000 0.000 0.500

---

No. 4
Y2Ho3Pd2 (PBE, optimized geometry); electronic total energy = -39.84 eV for the cell shown; density of states at the Fermi level = 1.260 states/eV per atom; space-group type = P-1, No. 2; energy above the most stable polymorph in this dataset = 0.97 eV per formula unit; spin magnetization = 0.0 μB/f.u.
1.0
-0.768 0.842 3.554
-9.779 0.085 -2.126
-4.236 -4.529 2.111
Y Pd Ho
2 2 3
Direct
0.612 0.376 0.776
0.388 0.624 0.224
0.359 0.072 0.282
0.641 0.928 0.718
0.844 0.286 0.313
0.156 0.714 0.687
0.000 0.000 0.000

---

No. 5
Ni2SnB (PBE, optimized geometry); electronic total energy = -42.46 eV for the cell shown; density of states at the Fermi level = 0.429 states/eV per atom; space-group type = I-42d, No. 122; energy above the most stable polymorph in this dataset = 0.00 eV per formula unit; spin magnetization = 0.0 μB/f.u.
1.0
-3.204 -2.638 -1.746
3.153 -2.868 -1.453
-0.375 -5.782 3.620
Ni Sn B
4 2 2
Direct
0.375 0.537 0.750
0.287 0.625 0.250
0.463 0.125 0.250
0.875 0.713 0.750
0.000 0.000 0.000
0.750 0.250 0.500
0.250 0.750 0.500
0.500 0.500 0.000

---

No. 6
Ta2CuSi (PBE, optimized geometry); electronic total energy = -33.21 eV for the cell shown; density of states at the Fermi level = 0.855 states/eV per atom; formation energy from raw total energies = 0.01 eV/f.u.; space-group type = P4mm, No. 99; spin magnetization = 0.0 μB/f.u.
1.0
3.423 0.000 0.000
0.000 3.421 0.000
0.000 0.000 5.457
Si Ta Cu
1 2 1
Direct
0.500 0.500 0.747
0.000 0.000 0.993
0.500 0.500 0.253
0.000 0.000 0.507

---

No. 7
MnZnRh2 (PBE, optimized geometry); electronic total energy = -25.24 eV for the cell shown; density of states at the Fermi level = 1.341 states/eV per atom; space-group type = F-43m, No. 216; spin magnetization = 5.1 μB/f.u.
1.0
4.337 0.000 0.000
2.168 3.756 0.000
2.168 1.252 3.541
Mn Rh Zn
1 2 1
Direct
0.500 0.500 0.500
0.250 0.250 0.250
0.000 0.000 0.000
0.750 0.750 0.750

---

No. 8
ZnAsBr3 (PBE, optimized geometry); electronic total energy = -11.03 eV for the cell shown; density of states at the Fermi level = 0.677 states/eV per atom; formation energy from raw total energies = -0.09 eV/f.u.; space-group type = Pm-3m, No. 221; energy above the most stable polymorph in this dataset = 0.00 eV per formula unit; spin magnetization = 0.2 μB/f.u.
1.0
5.341 0.000 0.000
0.000 5.341 0.000
0.000 0.000 5.341
Zn As Br
1 1 3
Direct
0.500 0.500 0.500
0.000 0.000 0.000
0.500 0.000 0.000
0.000 0.500 0.000
0.000 0.000 0.500